A relaxed structure of AgIrSeS2. Source: Alexandria via LeMat-Bulk, functional GGA-PBE.

Cell lengths 4.445, 4.445, 5.604 Å; angles 90.00, 90.00, 90.00 degrees
Fractional coordinates of all 5 atoms:
Ag1 0.000 0.000 0.000
Ir1 0.000 0.000 0.500
Se1 0.500 0.500 0.000
S1 0.000 0.500 0.500
S2 0.500 0.000 0.500

Uncorrected formation energy in eV/atom: 0.586
Crystal system: tetragonal